GdCrNi4: relaxed, PBE.

Cell lengths 4.9235, 4.9235, 4.9235 Å; angles 60.00, 60.00, 60.00 degrees
Closest atoms and distances in Å follow each position.
Sites, in units of the cell vectors:
Ni 0.6240 0.6240 0.6240  6 Ni 2.44-2.48
Gd 0.0000 0.0000 0.0000  12 Ni 2.89, 4 Cr 3.02
Cr 0.2500 0.2500 0.2500  12 Ni 2.88, 4 Gd 3.02
Ni 0.6240 0.6240 0.1280  6 Ni 2.44-2.48
Ni 0.1280 0.6240 0.6240  6 Ni 2.44-2.48
Ni 0.6240 0.1280 0.6240  6 Ni 2.44-2.48

Summary:
The calculation puts the energy of formation at -148 meV per atom.

---

Ta2BeCl2: relaxed, PBE.

Cell lengths 3.8267, 3.8267, 6.6670 Å; angles 73.32, 73.32, 90.00 degrees
Closest atoms and distances in Å follow each position.
Sites, in units of the cell vectors:
Cl 0.2500 0.7500 0.5000  4 Ta 2.59, 4 Cl 2.71
Be 0.0000 0.0000 0.0000  8 Ta 3.00
Ta 0.3928 0.3928 0.2143  4 Cl 2.59, 1 Ta 2.61
Ta 0.6072 0.6072 0.7857  4 Cl 2.59, 1 Ta 2.61
Cl 0.7500 0.2500 0.5000  4 Ta 2.59, 4 Cl 2.71

Summary:
Its distance to the lowest polymorph of the same formula is 0.000 eV/atom. For the formation energy from raw total energies, the calculation gives 529 meV per atom.

---

ScMnH2N: relaxed, PBE.

Cell lengths 3.3012, 3.3012, 3.7270 Å; angles 90.00, 90.00, 90.00 degrees
Closest atoms and distances in Å follow each position.
Sites, in units of the cell vectors:
H 0.0000 0.5000 0.0000  2 Mn 1.65
H 0.5000 0.0000 0.0000  2 Mn 1.65
Sc 0.5000 0.5000 0.5000  4 N 2.33, 8 H 2.49
N 0.0000 0.0000 0.5000  2 Mn 1.86
Mn 0.0000 0.0000 0.0000  4 H 1.65

Summary:
The value obtained for the uncorrected energy is -0.2472 Ha/atom.

---

Repeat the third record exactly.
ScMnH2N: relaxed, PBE.

Cell lengths 3.3012, 3.3012, 3.7270 Å; angles 90.00, 90.00, 90.00 degrees
Closest atoms and distances in Å follow each position.
Sites, in units of the cell vectors:
H 0.0000 0.5000 0.0000  2 Mn 1.65
H 0.5000 0.0000 0.0000  2 Mn 1.65
Sc 0.5000 0.5000 0.5000  4 N 2.33, 8 H 2.49
N 0.0000 0.0000 0.5000  2 Mn 1.86
Mn 0.0000 0.0000 0.0000  4 H 1.65

Summary:
The value obtained for the uncorrected energy is -0.2472 Ha/atom.